Computed, not measured: crystalline CeMgZrRe at its relaxed geometry at the GGA-PBE level of DFT.

Lattice parameters (Å, degrees): 4.929 4.929 4.929 60.00 60.00 60.00
Atoms (fractional coordinates):
Ce 0.000 0.000 0.000
Mg 0.750 0.750 0.750
Zr 0.500 0.500 0.500
Re 0.250 0.250 0.250

Energy of formation in meV/atom: 97.6
VASP energy in eV per atom: -7.03
DOS at the Fermi energy in states/eV/f.u.: 5.85
Space-group type: F-43m